# 1
The following is a PBE calculation of a geometry-optimized BaAcHg14 structure, from the Alexandria database.

## Properties
The volume is 961.45 Å³ per cell. Its calculated total energy is -0.835 eV per atom. As for the formation enthalpy at 0 K: -3.1 eV per formula unit.

Structure (CIF):
```
data_BaAcHg14
_chemical_formula_sum 'Ba2 Ac2 Hg28'
_cell_length_a 12.469
_cell_length_b 13.819
_cell_length_c 6.531
_cell_angle_alpha 90.00
_cell_angle_beta 121.32
_cell_angle_gamma 90.00
_space_group_name_H-M_alt 'C 1 2/m 1'
_space_group_IT_number 12
_space_group_name_Hall '-C 2y'
loop_
_atom_site_label
_atom_site_fract_x
_atom_site_fract_y
_atom_site_fract_z
_atom_site_occupancy
Ba1 0.000 0.000 0.000 1
Ac1 0.000 0.500 0.500 1
Hg1 0.000 0.219 0.274 1
Hg2 0.000 0.394 0.000 1
Hg3 0.244 0.375 0.987 1
Hg4 0.246 0.378 0.495 1
```


# 2
The following is a PBE calculation of a geometry-optimized BaAc2Hg4 structure, from the Alexandria database.

## Properties
The volume is 784.58 Å³ per cell. Its calculated total energy is -1.951 eV per atom. As for the formation enthalpy at 0 K: -2.3 eV per formula unit.

Structure (CIF):
```
data_BaAc2Hg4
_chemical_formula_sum 'Ba3 Ac6 Hg12'
_cell_length_a 5.6028
_cell_length_b 5.6028
_cell_length_c 28.8605
_cell_angle_alpha 90.00
_cell_angle_beta 90.00
_cell_angle_gamma 120.00
_space_group_name_H-M_alt 'R -3 m'
_space_group_IT_number 166
_space_group_name_Hall '-R 3 2"'
loop_
_atom_site_label
_atom_site_fract_x
_atom_site_fract_y
_atom_site_fract_z
_atom_site_occupancy
Ba1 0.0000 0.0000 0.0000 1
Ac1 0.0000 0.0000 0.2334 1
Hg1 0.0000 0.0000 0.1196 1
Hg2 0.0000 0.0000 0.3996 1
```


# 3
The following is a PBE calculation of a geometry-optimized Ba5AcHg4 structure, from the Alexandria database.

## Properties
The volume is 401.67 Å³ per cell. Its calculated total energy is -1.887 eV per atom. As for the formation enthalpy at 0 K: -3.9 eV per formula unit.

Structure (CIF):
```
data_Ba5AcHg4
_chemical_formula_sum 'Ba5 Ac1 Hg4'
_cell_length_a 4.181
_cell_length_b 4.181
_cell_length_c 22.973
_cell_angle_alpha 90.00
_cell_angle_beta 90.00
_cell_angle_gamma 90.00
_space_group_name_H-M_alt 'P 4/m m m'
_space_group_IT_number 123
_space_group_name_Hall '-P 4 2'
loop_
_atom_site_label
_atom_site_fract_x
_atom_site_fract_y
_atom_site_fract_z
_atom_site_occupancy
Ba1 0.000 0.000 0.000 1
Ba2 0.000 0.000 0.185 1
Ba3 0.000 0.000 0.367 1
Ac1 0.500 0.500 0.500 1
Hg1 0.500 0.500 0.093 1
Hg2 0.500 0.500 0.278 1
```


# 4
The following is a PBE calculation of a geometry-optimized BaAcHg structure, from the Alexandria database.

## Properties
The volume is 125.00 Å³ per cell. Its calculated total energy is -2.279 eV per atom. The value obtained for the energy above the most stable polymorph in this dataset is 0.157 eV/atom. As for the formation enthalpy at 0 K: -0.5 eV per formula unit.

Structure (CIF):
```
data_BaAcHg
_chemical_formula_sum 'Ba1 Ac1 Hg1'
_cell_length_a 5.6862
_cell_length_b 5.6862
_cell_length_c 4.4642
_cell_angle_alpha 90.00
_cell_angle_beta 90.00
_cell_angle_gamma 120.00
_space_group_name_H-M_alt 'P 3 m 1'
_space_group_IT_number 156
_space_group_name_Hall 'P 3 -2"'
loop_
_atom_site_label
_atom_site_fract_x
_atom_site_fract_y
_atom_site_fract_z
_atom_site_occupancy
Ba1 0.0000 0.0000 0.0000 1
Ac1 0.3333 0.6667 0.4996 1
Hg1 0.6667 0.3333 0.5025 1
```


# 5
The following is a PBE calculation of a geometry-optimized BaAc2Hg3 structure, from the Alexandria database.

## Properties
The volume is 206.87 Å³ per cell. Its calculated total energy is -2.339 eV per atom. As for the formation enthalpy at 0 K: -3.0 eV per formula unit.

Structure (CIF):
```
data_BaAc2Hg3
_chemical_formula_sum 'Ba1 Ac2 Hg3'
_cell_length_a 4.079
_cell_length_b 4.079
_cell_length_c 12.431
_cell_angle_alpha 90.00
_cell_angle_beta 90.00
_cell_angle_gamma 90.00
_space_group_name_H-M_alt 'P 4/m m m'
_space_group_IT_number 123
_space_group_name_Hall '-P 4 2'
loop_
_atom_site_label
_atom_site_fract_x
_atom_site_fract_y
_atom_site_fract_z
_atom_site_occupancy
Ba1 0.000 0.000 0.000 1
Ac1 0.000 0.000 0.337 1
Hg1 0.500 0.500 0.182 1
Hg2 0.500 0.500 0.500 1
```


# 6
The following is a PBE calculation of a geometry-optimized BaAc2Hg structure, from the Alexandria database.

## Properties
The volume is 171.90 Å³ per cell. Its calculated total energy is -2.792 eV per atom. The value obtained for the energy above the most stable polymorph in this dataset is 0.000 eV/atom. As for the formation enthalpy at 0 K: -0.7 eV per formula unit.

Structure (CIF):
```
data_BaAc2Hg
_chemical_formula_sum 'Ba1 Ac2 Hg1'
_cell_length_a 4.087
_cell_length_b 4.087
_cell_length_c 10.289
_cell_angle_alpha 90.00
_cell_angle_beta 90.00
_cell_angle_gamma 90.00
_space_group_name_H-M_alt 'P 4/m m m'
_space_group_IT_number 123
_space_group_name_Hall '-P 4 2'
loop_
_atom_site_label
_atom_site_fract_x
_atom_site_fract_y
_atom_site_fract_z
_atom_site_occupancy
Ba1 0.000 0.000 0.000 1
Ac1 0.500 0.500 0.311 1
Hg1 0.000 0.000 0.500 1
```


Please write out number 6 again, unchanged.
The following is a PBE calculation of a geometry-optimized BaAc2Hg structure, from the Alexandria database.

## Properties
The volume is 171.90 Å³ per cell. Its calculated total energy is -2.792 eV per atom. The value obtained for the energy above the most stable polymorph in this dataset is 0.000 eV/atom. As for the formation enthalpy at 0 K: -0.7 eV per formula unit.

Structure (CIF):
```
data_BaAc2Hg
_chemical_formula_sum 'Ba1 Ac2 Hg1'
_cell_length_a 4.087
_cell_length_b 4.087
_cell_length_c 10.289
_cell_angle_alpha 90.00
_cell_angle_beta 90.00
_cell_angle_gamma 90.00
_space_group_name_H-M_alt 'P 4/m m m'
_space_group_IT_number 123
_space_group_name_Hall '-P 4 2'
loop_
_atom_site_label
_atom_site_fract_x
_atom_site_fract_y
_atom_site_fract_z
_atom_site_occupancy
Ba1 0.000 0.000 0.000 1
Ac1 0.500 0.500 0.311 1
Hg1 0.000 0.000 0.500 1
```


> formation enthalpy at 0 K of number 6 (BaAc2Hg)?

-0.7 eV per formula unit


> The highest volume belongs to which entry?

BaAcHg14